[1]
Material: HfCdP3
Method: DFT, PBE
State: relaxed

Lattice parameters (Å, degrees): 4.8030 4.8030 4.8030 90.00 90.00 90.00
Positions (direct):
Hf (0.0000, 0.0000, 0.0000)
Cd (0.5000, 0.5000, 0.5000)
P (0.0000, 0.5000, 0.5000)
P (0.5000, 0.0000, 0.5000)
P (0.5000, 0.5000, 0.0000)

## Properties
Relative energy among the computed polymorphs   0.804 eV/atom
DFT formation energy   1.1205 eV per atom

=====

[2]
Material: HfCd2P
Method: DFT, PBE
State: relaxed

Lattice parameters (Å, degrees): 6.2556 6.2556 6.2556 100.12 100.12 130.42
Positions (direct):
Hf (0.0000, 0.0000, 0.0000)
Hf (0.7500, 0.2500, 0.5000)
Cd (0.1692, 0.6250, 0.0442)
Cd (0.3750, 0.4192, 0.5442)
Cd (0.5808, 0.1250, 0.9558)
Cd (0.8750, 0.8308, 0.4558)
P (0.2500, 0.7500, 0.5000)
P (0.5000, 0.5000, 0.0000)

## Properties
DFT formation energy   0.0086 eV per atom

=====

[3]
Material: Hf2CdP
Method: DFT, PBE
State: relaxed

Lattice parameters (Å, degrees): 4.7524 4.7524 4.7524 60.00 60.00 60.00
Positions (direct):
Hf (0.2500, 0.2500, 0.2500)
Hf (0.7500, 0.7500, 0.7500)
Cd (0.0000, 0.0000, 0.0000)
P (0.5000, 0.5000, 0.5000)

## Properties
Relative energy among the computed polymorphs   0.482 eV/atom
DFT formation energy   -0.1328 eV per atom

=====

[4]
Material: Hf2CdP
Method: DFT, PBE
State: relaxed

Lattice parameters (Å, degrees): 7.8779 7.8779 7.8779 25.99 25.99 25.99
Positions (direct):
Hf (0.2314, 0.2314, 0.2314)
Hf (0.7686, 0.7686, 0.7686)
Cd (0.0000, 0.0000, 0.0000)
P (0.5000, 0.5000, 0.5000)

## Properties
Relative energy among the computed polymorphs   0.000 eV/atom
DFT formation energy   -0.6151 eV per atom

=====

[5]
Material: HfCd2ReP
Method: DFT, PBE
State: relaxed

Lattice parameters (Å, degrees): 5.2172 5.2172 4.9195 90.00 90.00 90.00
Positions (direct):
Hf (0.0000, 0.0000, 0.0000)
Cd (0.0000, 0.5000, 0.5000)
Cd (0.5000, 0.0000, 0.5000)
Re (0.0000, 0.0000, 0.5000)
P (0.5000, 0.5000, 0.0000)

## Properties
DFT formation energy   1.1812 eV per atom

=====

[6]
Material: HfCd2PS
Method: DFT, PBE
State: relaxed

Lattice parameters (Å, degrees): 4.9769 4.9769 4.7738 90.00 90.00 90.00
Positions (direct):
Hf (0.0000, 0.0000, 0.0000)
Cd (0.0000, 0.5000, 0.5000)
Cd (0.5000, 0.0000, 0.5000)
P (0.5000, 0.5000, 0.0000)
S (0.0000, 0.0000, 0.5000)

## Properties
Raw formation energy   43.6 kJ/mol of atoms

=====

[7]
Material: HfCd2TcP
Method: DFT, PBE
State: relaxed

Lattice parameters (Å, degrees): 5.1967 5.1967 4.7852 90.00 90.00 90.00
Positions (direct):
Hf (0.0000, 0.0000, 0.0000)
Cd (0.0000, 0.5000, 0.5000)
Cd (0.5000, 0.0000, 0.5000)
Tc (0.0000, 0.0000, 0.5000)
P (0.5000, 0.5000, 0.0000)

## Properties
DFT formation energy   0.9918 eV per atom

=====

[8]
Material: Hf2PaCd
Method: DFT, PBE
State: relaxed

Lattice parameters (Å, degrees): 3.2347 4.0991 6.8215 90.00 90.00 90.00
Positions (direct):
Hf (0.0000, 0.0000, 0.2470)
Hf (0.0000, 0.0000, 0.7530)
Pa (0.5000, 0.5000, 0.0000)
Cd (0.5000, 0.5000, 0.5000)

## Properties
Relative energy among the computed polymorphs   0.066 eV/atom
DFT formation energy   0.0775 eV per atom

=====

[9]
Material: Hf2Pa2Cd3
Method: DFT, PBE
State: relaxed

Lattice parameters (Å, degrees): 16.6336 16.6336 3.0979 90.00 90.00 169.28
Positions (direct):
Hf (0.1381, 0.8619, 0.0000)
Hf (0.8619, 0.1381, 0.0000)
Pa (0.2903, 0.7097, 0.5000)
Pa (0.7097, 0.2903, 0.5000)
Cd (0.0000, 0.0000, 0.0000)
Cd (0.4319, 0.5681, 0.5000)
Cd (0.5681, 0.4319, 0.5000)

## Properties
DFT formation energy   0.0097 eV per atom

=====

[10]
Material: Hf2PaCd
Method: DFT, PBE
State: relaxed

Lattice parameters (Å, degrees): 4.6566 4.6566 4.1787 90.00 90.00 90.00
Positions (direct):
Hf (0.0000, 0.5000, 0.0000)
Hf (0.5000, 0.0000, 0.0000)
Pa (0.0000, 0.0000, 0.5000)
Cd (0.5000, 0.5000, 0.5000)

## Properties
Relative energy among the computed polymorphs   0.114 eV/atom
DFT formation energy   0.1249 eV per atom

=====

[11]
Material: Hf4PaCd
Method: DFT, PBE
State: relaxed

Lattice parameters (Å, degrees): 3.1219 5.2257 8.5742 90.00 90.00 90.00
Positions (direct):
Hf (0.0000, 0.0000, 0.1827)
Hf (0.0000, 0.0000, 0.8173)
Hf (0.5000, 0.5000, 0.3125)
Hf (0.5000, 0.5000, 0.6875)
Pa (0.0000, 0.5000, 0.0000)
Cd (0.5000, 0.0000, 0.5000)

## Properties
DFT formation energy   0.1851 eV per atom

=====

[12]
Material: HfPaCd4
Method: DFT, PBE
State: relaxed

Lattice parameters (Å, degrees): 5.7744 5.7744 5.7744 60.00 60.00 60.00
Positions (direct):
Hf (0.0000, 0.0000, 0.0000)
Pa (0.2500, 0.2500, 0.2500)
Cd (0.1238, 0.6254, 0.6254)
Cd (0.6254, 0.1238, 0.6254)
Cd (0.6254, 0.6254, 0.1238)
Cd (0.6254, 0.6254, 0.6254)

## Properties
DFT formation energy   0.1531 eV per atom

=====

[13]
Material: Hf2PaCd
Method: DFT, PBE
State: relaxed

Lattice parameters (Å, degrees): 10.6186 10.6186 10.6186 17.25 17.25 17.25
Positions (direct):
Hf (0.0000, 0.0000, 0.0000)
Hf (0.1698, 0.1698, 0.1698)
Pa (0.4180, 0.4180, 0.4180)
Cd (0.5849, 0.5849, 0.5849)

## Properties
Relative energy among the computed polymorphs   0.000 eV/atom
DFT formation energy   0.0110 eV per atom

=====

[14]
Material: Hf3PaCd
Method: DFT, PBE
State: relaxed

Lattice parameters (Å, degrees): 8.2721 3.2744 8.3356 90.00 90.31 90.00
Positions (direct):
Hf (0.0314, 0.2500, 0.1464)
Hf (0.2699, 0.2500, 0.7208)
Hf (0.4248, 0.2500, 0.3514)
Hf (0.5752, 0.7500, 0.6486)
Hf (0.7301, 0.7500, 0.2792)
Hf (0.9686, 0.7500, 0.8536)
Pa (0.3489, 0.7500, 0.0318)
Pa (0.6511, 0.2500, 0.9682)
Cd (0.1281, 0.7500, 0.4375)
Cd (0.8719, 0.2500, 0.5625)

## Properties
DFT formation energy   0.0367 eV per atom

=====

[15]
Material: Hf2PaCd
Method: DFT, PBE
State: relaxed

Lattice parameters (Å, degrees): 11.3815 11.3815 11.3815 15.55 15.55 15.55
Positions (direct):
Hf (0.0896, 0.0896, 0.0896)
Hf (0.9104, 0.9104, 0.9104)
Pa (0.0000, 0.0000, 0.0000)
Cd (0.5000, 0.5000, 0.5000)

## Properties
Relative energy among the computed polymorphs   0.281 eV/atom
DFT formation energy   0.2919 eV per atom

=====

[16]
Material: HfPaCd2
Method: DFT, PBE
State: relaxed

Lattice parameters (Å, degrees): 10.8945 10.8945 10.8945 16.68 16.68 16.68
Positions (direct):
Hf (0.0000, 0.0000, 0.0000)
Pa (0.2497, 0.2497, 0.2497)
Cd (0.4139, 0.4139, 0.4139)
Cd (0.8273, 0.8273, 0.8273)

## Properties
DFT formation energy   0.0377 eV per atom

=====

[17]
Material: HfCdPb2
Method: DFT, PBE
State: relaxed

Lattice parameters (Å, degrees): 6.7083 6.7083 6.7083 40.15 40.15 40.15
Positions (direct):
Hf (0.0000, 0.0000, 0.0000)
Cd (0.1717, 0.1717, 0.1717)
Pb (0.4116, 0.4116, 0.4116)
Pb (0.5930, 0.5930, 0.5930)

## Properties
DFT formation energy   0.2850 eV per atom

=====

[18]
Material: Hf4CdPb
Method: DFT, PBE
State: relaxed

Lattice parameters (Å, degrees): 7.3341 7.3341 4.3859 90.00 90.00 144.63
Positions (direct):
Hf (0.1729, 0.8271, 0.0000)
Hf (0.3251, 0.6749, 0.5000)
Hf (0.6749, 0.3251, 0.5000)
Hf (0.8271, 0.1729, 0.0000)
Cd (0.5000, 0.5000, 0.0000)
Pb (0.0000, 0.0000, 0.5000)

## Properties
DFT formation energy   -0.0772 eV per atom

=====

[19]
Material: HfCdPb2
Method: DFT, PBE
State: relaxed

Lattice parameters (Å, degrees): 4.8778 4.8778 4.1847 90.00 90.00 90.00
Positions (direct):
Hf (0.0000, 0.0000, 0.0000)
Cd (0.5000, 0.5000, 0.0000)
Pb (0.0000, 0.5000, 0.5000)
Pb (0.5000, 0.0000, 0.5000)

## Properties
DFT formation energy   0.1569 eV per atom

=====

[20]
Material: Hf6CdPb
Method: DFT, PBE
State: relaxed

Lattice parameters (Å, degrees): 5.1295 6.3481 6.3481 60.61 90.00 90.00
Positions (direct):
Hf (0.0000, 0.0000, 0.0000)
Hf (0.0000, 0.0076, 0.4896)
Hf (0.0000, 0.4896, 0.0076)
Hf (0.5000, 0.1541, 0.6700)
Hf (0.5000, 0.1664, 0.1664)
Hf (0.5000, 0.6700, 0.1541)
Cd (0.0000, 0.4907, 0.4907)
Pb (0.5000, 0.6605, 0.6605)

## Properties
DFT formation energy   0.0905 eV per atom

=====

Total moment values, unit μB/f.u., following the record order: 0.000, 0.000, 0.000, 0.000, 1.752, 0.000, 1.524, 0.000, 0.000, 0.000, 0.000, 2.321, 0.000, 0.000, 0.000, 0.000, 0.000, 0.000, 0.000, 0.000.